This record from Alexandria describes a crystal of ScOs2W relaxed with PBEsol. The functional is SCAN.

Cell lengths 2.7507, 2.7507, 8.4003 Å; angles 90.00, 90.00, 90.00 degrees
Last column: nearest neighbours and their distance in Å.
Fractional coordinates of all 4 atoms:
Os (0.0000, 0.0000, 0.0207)  8 Os 2.59-2.75, 4 W 2.88
Os (0.5000, 0.5000, 0.2247)  8 Os 2.59-2.75
Sc (0.0000, 0.0000, 0.4868)  4 Sc 2.75, 4 Os 2.94, 4 W 3.06
W (0.5000, 0.5000, 0.7678)  4 W 2.75, 4 Os 2.88, 4 Sc 3.06

The value obtained for the calculated volume is 15.890 Å³ per atom. The total energy is -56.86 eV per atom. As for the symmetry: P4mm. The formation energy from the elements comes out at 0.0615 eV per atom.